[1]
VASP calculation (PBE) on a relaxed YRh2Se crystal.

Output
Energy relative to the elements, uncorrected (meV per atom): -560
Fermi-level density of states (states/eV/cell): 3.47
SG: Pm, No. 6

Cell: 4.0480 3.7410 5.2369 Å, 70.02 90.00 90.00°
Fractional coordinates of all 4 atoms:
1 Rh 0.0000 0.0035 0.0344
2 Rh 0.5000 0.3875 0.2401
3 Se 0.0000 0.3682 0.5089
4 Y 0.5000 0.7408 0.7165

***

[2]
VASP calculation (PBE) on a relaxed CaMgZr2 crystal.

Output
E (eV/atom): -4.890
Fermi-level density of states (states/eV/cell): 6.94
SG: P4/mmm, No. 123

Cell: 3.1824 3.1824 9.9410 Å, 90.00 90.00 90.00°
Fractional coordinates of all 4 atoms:
1 Ca 0.5000 0.5000 0.2500
2 Mg 0.5000 0.5000 0.7500
3 Zr 0.0000 0.0000 0.9727
4 Zr 0.0000 0.0000 0.5273